Entry from Alexandria: a relaxed Ti2GaHW crystal (GGA-PBE).

a = 4.254 Å, b = 4.254 Å, c = 3.638 Å
α = 90.00°, β = 90.00°, γ = 90.00°
Fractional coordinates of all 5 atoms:
Ga  0.500  0.500  0.500
Ti  0.500  0.000  0.000
Ti  0.000  0.500  0.000
W  0.000  0.000  0.500
H  0.000  0.000  0.000

## Properties
* symmetry: P4/mmm (123)
* final energy: -7.289 eV/atom
* total magnetic moment: 0.00 μB/f.u.


Entry from Alexandria: a relaxed Na2MoAs2 crystal (GGA-PBE).

a = 6.638 Å, b = 6.638 Å, c = 4.733 Å
α = 90.00°, β = 90.00°, γ = 90.00°
Fractional coordinates of all 10 atoms:
As  0.648  0.148  0.000
As  0.148  0.352  0.000
As  0.852  0.648  0.000
As  0.352  0.852  0.000
Mo  0.500  0.500  0.000
Mo  0.000  0.000  0.000
Na  0.169  0.669  0.500
Na  0.669  0.831  0.500
Na  0.831  0.331  0.500
Na  0.331  0.169  0.500

## Properties
* formation energy: -0.04 eV per atom
* symmetry: P4/mbm (127)
* final energy: -4.596 eV/atom
* total magnetic moment: 0.00 μB/f.u.


Entry from Alexandria: a relaxed La5Nd12Sm2 crystal (GGA-PBE).

a = 7.298 Å, b = 10.158 Å, c = 10.607 Å
α = 70.36°, β = 90.00°, γ = 111.05°
Fractional coordinates of all 19 atoms:
Nd  0.500  0.001  0.325
Nd  0.913  0.332  0.478
Nd  0.089  0.682  0.868
Nd  0.407  0.318  0.132
Nd  0.025  0.051  0.759
Nd  0.975  0.949  0.241
Nd  0.500  0.999  0.675
Nd  0.087  0.668  0.522
Nd  0.581  0.668  0.522
Nd  0.911  0.318  0.132
Nd  0.419  0.332  0.478
Nd  0.593  0.682  0.868
La  0.000  0.000  0.500
La  0.814  0.628  0.186
La  0.186  0.372  0.814
La  0.675  0.350  0.788
La  0.325  0.650  0.212
Sm  0.282  0.000  0.000
Sm  0.718  0.000  0.000

## Properties
* energy relative to the lowest polymorph listed for this composition: 1.15 kcal/mol of atoms
* formation energy: 0.15 eV per atom
* symmetry: C2/m (12)
* final energy: -4.652 eV/atom
* total magnetic moment: 0.00 μB/f.u.


Entry from Alexandria: a relaxed Mg3GaPd4 crystal (GGA-PBE).

a = 4.431 Å, b = 4.431 Å, c = 7.135 Å
α = 108.13°, β = 108.13°, γ = 90.20°
Fractional coordinates of all 8 atoms:
Ga  0.500  0.000  0.000
Mg  0.749  0.249  0.499
Mg  0.000  0.500  0.000
Mg  0.251  0.751  0.501
Pd  0.621  0.620  0.241
Pd  0.379  0.380  0.759
Pd  0.120  0.121  0.241
Pd  0.880  0.879  0.759

## Properties
* formation energy: -0.73 eV per atom
* symmetry: C2/m (12)
* final energy: -4.298 eV/atom
* total magnetic moment: 0.00 μB/f.u.


Entry from Alexandria: a relaxed PmYHf crystal (GGA-PBE).

a = 3.383 Å, b = 3.383 Å, c = 7.960 Å
α = 102.27°, β = 102.27°, γ = 90.00°
Fractional coordinates of all 3 atoms:
Hf  0.665  0.665  0.329
Pm  0.322  0.322  0.643
Y  0.014  0.014  0.027

## Properties
* energy relative to the lowest polymorph listed for this composition: 0.62 kcal/mol of atoms
* formation energy: 0.14 eV per atom
* symmetry: I4mm (107)
* final energy: -6.912 eV/atom
* total magnetic moment: 0.00 μB/f.u.


Entry from Alexandria: a relaxed Pm3ZnSe6 crystal (GGA-PBE).

a = 6.711 Å, b = 9.234 Å, c = 9.234 Å
α = 102.35°, β = 90.00°, γ = 90.00°
Fractional coordinates of all 20 atoms:
Zn  0.027  0.198  0.802
Zn  0.527  0.802  0.198
Pm  0.394  0.387  0.613
Pm  0.479  0.280  0.074
Pm  0.979  0.074  0.280
Pm  0.894  0.613  0.387
Pm  0.979  0.720  0.926
Pm  0.479  0.926  0.720
Se  0.698  0.908  0.435
Se  0.188  0.681  0.640
Se  0.167  0.778  0.222
Se  0.198  0.092  0.565
Se  0.667  0.222  0.778
Se  0.188  0.360  0.319
Se  0.668  0.963  0.037
Se  0.698  0.565  0.092
Se  0.688  0.319  0.360
Se  0.168  0.037  0.963
Se  0.688  0.640  0.681
Se  0.198  0.435  0.908

## Properties
* symmetry: Cmc2_1 (36)
* formation energy (no corrections): -1.480 eV per atom
* final energy: -5.123 eV/atom
* total magnetic moment: 0.00 μB/f.u.


Entry from Alexandria: a relaxed LiNi2Pt crystal (GGA-PBE).

a = 4.491 Å, b = 4.491 Å, c = 4.449 Å
α = 79.73°, β = 79.73°, γ = 34.40°
Site moments in Bohr magnetons follow the coordinates.
Fractional coordinates of all 4 atoms:
Ni  0.007  0.007  0.993  0.46
Ni  0.747  0.747  0.759  0.66
Pt  0.495  0.495  0.502  0.18
Li  0.251  0.251  0.246  -0.01

## Properties
* formation energy: -0.17 eV per atom
* symmetry: Cm (8)
* final energy: -5.051 eV/atom
* total magnetic moment: 1.21 μB/f.u.


Entry from Alexandria: a relaxed RbLi2Te crystal (GGA-PBE).

a = 5.854 Å, b = 5.854 Å, c = 9.981 Å
α = 72.95°, β = 72.95°, γ = 90.00°
Site moments in Bohr magnetons follow the coordinates.
Fractional coordinates of all 8 atoms:
Li  0.875  0.124  0.750  0.04
Li  0.874  0.125  0.250  0.05
Li  0.375  0.126  0.750  0.04
Li  0.876  0.625  0.250  0.05
Te  0.750  0.250  0.500  0.00
Te  0.000  0.000  0.000  0.00
Rb  0.500  0.500  0.000  0.03
Rb  0.250  0.750  0.500  0.03

## Properties
* symmetry: I-42d (122)
* formation energy (no corrections): -0.467 eV per atom
* final energy: -2.452 eV/atom
* total magnetic moment: 0.79 μB/f.u.